BeRe2AgPd: optimized geometry, PBE-GGA.

Values from the calculation:
DFT formation energy	2297	meV/atom

```
data_BeRe2AgPd
_cell_length_a 4.856
_cell_length_b 4.856
_cell_length_c 3.981
_cell_angle_alpha 90.00
_cell_angle_beta 90.00
_cell_angle_gamma 90.00
_space_group_name_H-M_alt 'P 4/m m m'
_space_group_IT_number 123
_space_group_name_Hall '-P 4 2'
loop_
_atom_site_label
_atom_site_type_symbol
_atom_site_fract_x
_atom_site_fract_y
_atom_site_fract_z
Be1 Be 0.000 0.000 0.000
Re1 Re 0.000 0.500 0.500
Ag1 Ag 0.000 0.000 0.500
Pd1 Pd 0.500 0.500 0.000
```

***

BeSiAgPd2: optimized geometry, PBE-GGA.

Values from the calculation:
formation energy from raw total energies	1.0615	eV/atom

```
data_BeSiAgPd2
_cell_length_a 4.941
_cell_length_b 4.941
_cell_length_c 4.077
_cell_angle_alpha 90.00
_cell_angle_beta 90.00
_cell_angle_gamma 90.00
_space_group_name_H-M_alt 'P 4/m m m'
_space_group_IT_number 123
_space_group_name_Hall '-P 4 2'
loop_
_atom_site_label
_atom_site_type_symbol
_atom_site_fract_x
_atom_site_fract_y
_atom_site_fract_z
Be1 Be 0.000 0.000 0.000
Si1 Si 0.500 0.500 0.000
Ag1 Ag 0.000 0.000 0.500
Pd1 Pd 0.000 0.500 0.500
```

***

Sm3Be2AgPd9: optimized geometry, PBE-GGA.

Values from the calculation:
DFT formation energy	-567	meV/atom

```
data_Sm3Be2AgPd9
_cell_length_a 5.9275
_cell_length_b 5.9275
_cell_length_c 9.5415
_cell_angle_alpha 90.00
_cell_angle_beta 90.00
_cell_angle_gamma 120.00
_space_group_name_H-M_alt 'P -3 m 1'
_space_group_IT_number 164
_space_group_name_Hall '-P 3 2"'
loop_
_atom_site_label
_atom_site_type_symbol
_atom_site_fract_x
_atom_site_fract_y
_atom_site_fract_z
Sm1 Sm 0.0000 0.0000 0.0000
Sm2 Sm 0.3333 0.6667 0.7043
Be1 Be 0.3333 0.6667 0.1462
Ag1 Ag 0.0000 0.0000 0.5000
Pd1 Pd 0.0000 0.5000 0.0000
Pd2 Pd 0.1589 0.3178 0.2710
```

***

Sm2BeAgPd6: optimized geometry, PBE-GGA.

Values from the calculation:
DFT formation energy	-527	meV/atom

```
data_Sm2BeAgPd6
_cell_length_a 5.738
_cell_length_b 5.740
_cell_length_c 7.218
_cell_angle_alpha 69.37
_cell_angle_beta 69.28
_cell_angle_gamma 61.52
_space_group_name_H-M_alt 'P -1'
_space_group_IT_number 2
loop_
_space_group_symop_operation_xyz
'x,y,z'
'-x,-y,-z'
loop_
_atom_site_label
_atom_site_type_symbol
_atom_site_fract_x
_atom_site_fract_y
_atom_site_fract_z
Sm1 Sm 0.228 0.227 0.207
Be1 Be 0.500 0.500 0.500
Ag1 Ag 0.000 0.000 0.000
Pd1 Pd 0.152 0.678 0.363
Pd2 Pd 0.291 0.292 0.758
Pd3 Pd 0.321 0.849 0.637
```

***

SrBeAg2Pd: optimized geometry, PBE-GGA.

Values from the calculation:
DFT formation energy	-175	meV/atom

```
data_SrBeAg2Pd
_cell_length_a 4.688
_cell_length_b 4.688
_cell_length_c 4.561
_cell_angle_alpha 90.00
_cell_angle_beta 90.00
_cell_angle_gamma 90.00
_space_group_name_H-M_alt 'P 4/m m m'
_space_group_IT_number 123
_space_group_name_Hall '-P 4 2'
loop_
_atom_site_label
_atom_site_type_symbol
_atom_site_fract_x
_atom_site_fract_y
_atom_site_fract_z
Sr1 Sr 0.000 0.000 0.000
Be1 Be 0.500 0.500 0.500
Ag1 Ag 0.000 0.500 0.500
Pd1 Pd 0.500 0.500 0.000
```

***

SrBeAgPd2: optimized geometry, PBE-GGA.

Values from the calculation:
DFT formation energy	-342	meV/atom

```
data_SrBeAgPd2
_cell_length_a 4.497
_cell_length_b 4.497
_cell_length_c 4.657
_cell_angle_alpha 90.00
_cell_angle_beta 90.00
_cell_angle_gamma 90.00
_space_group_name_H-M_alt 'P 4/m m m'
_space_group_IT_number 123
_space_group_name_Hall '-P 4 2'
loop_
_atom_site_label
_atom_site_type_symbol
_atom_site_fract_x
_atom_site_fract_y
_atom_site_fract_z
Sr1 Sr 0.000 0.000 0.000
Be1 Be 0.500 0.500 0.500
Ag1 Ag 0.500 0.500 0.000
Pd1 Pd 0.000 0.500 0.500
```